9
Lattice="-2.4314 -1.2769 -5.3287 -3.4060 -4.3328 -0.7987 -5.0847 3.6711 1.2660" Properties=species:S:1:pos:R:3 comment="CsFeAsF6 (GGA+U, relaxed)" dos_at_fermi_per_ev_atom=0.00 dft_energy_ev_per_cell=-43.8 pbc="T T T"
Cs -8.4806 -0.6511 0.4606
Fe -6.3834 -1.8212 -3.4898
As -4.5156 -0.0869 -1.3817
F -2.9561 -0.3720 -0.0959
F -4.3995 1.8004 -1.1255
F -6.1089 0.1696 -2.6391
F -7.9399 -1.2897 -4.6083
F -4.6932 -2.1395 -2.4985
F -3.2952 0.3070 -2.8001